VASP calculation (PBE with a Hubbard U) on an optimized crystal structure of MnCuN2O.

Cell lengths 3.739, 3.739, 3.922 Å; angles 90.00, 90.00, 90.00 degrees
Last column: magnetic moment on the atom in μB.
Fractional positions:
Cu: 0.000 0.000 0.000  -0.11
N: 0.500 0.000 0.000  -0.74
Mn: 0.500 0.500 0.500  4.62
N: 0.000 0.500 0.000  -0.74
O: 0.000 0.000 0.500  -0.21

Results
- Final energy: -5.7003 eV/atom
- Total moment: 2.49 μB/f.u.
- Space-group type: No. 123
- Fermi-level density of states: 1.01 states/eV per cell